Record 1
# Ba2RuI

A relaxed Ba2RuI crystal (PBE, the Alexandria database).

Cell lengths 5.8045, 5.8045, 5.8045 Å; angles 60.00, 60.00, 60.00 degrees
Closest atoms and distances in Å follow each position.
Element x y z (fractional)
Ru 0.0000 0.0000 0.0000  8 Ba 3.55
Ba 0.7500 0.7500 0.7500  4 I 3.55, 4 Ru 3.55
Ba 0.2500 0.2500 0.2500  4 I 3.55, 4 Ru 3.55
I 0.5000 0.5000 0.5000  8 Ba 3.55

Calculated values
As for the energy above the most stable polymorph in this dataset: 0.21 eV per formula unit. Its volume is 138.3 Å³/cell. The symmetry is Fm-3m (225). As for the total energy: -3.710 eV per atom. The value obtained for the energy relative to the elements, uncorrected is -0.042 eV per atom.

=====

Record 2
# Pm6MgRh3

A relaxed Pm6MgRh3 crystal (PBE, the Alexandria database).

Cell lengths 7.3198, 8.6962, 8.6962 Å; angles 98.42, 90.00, 90.00 degrees
Closest atoms and distances in Å follow each position.
Element x y z (fractional)
Pm 0.0723 0.7806 0.2194  3 Rh 2.76-2.77
Pm 0.3042 0.5300 0.9479  3 Rh 2.94-3.09
Mg 0.0098 0.3244 0.6756  1 Rh 2.79
Mg 0.5098 0.6756 0.3244  1 Rh 2.79
Rh 0.3677 0.3968 0.6032  7 Pm 2.77-3.09, 1 Mg 2.79
Rh 0.8677 0.6032 0.3968  7 Pm 2.77-3.09, 1 Mg 2.79
Pm 0.5723 0.2194 0.7806  3 Rh 2.76-2.77
Pm 0.1712 0.3747 0.3081  4 Rh 2.90-3.01
Pm 0.6712 0.3081 0.3747  4 Rh 2.90-3.01
Pm 0.8042 0.4700 0.0521  3 Rh 2.94-3.09
Rh 0.9650 0.7271 0.9124  5 Pm 2.76-3.06
Rh 0.4650 0.9124 0.7271  5 Pm 2.76-3.06
Pm 0.8042 0.9479 0.5300  3 Rh 2.94-3.09
Rh 0.9650 0.0876 0.2729  5 Pm 2.76-3.06
Pm 0.6547 0.9443 0.0557  4 Rh 3.10-3.15
Rh 0.4650 0.2729 0.0876  5 Pm 2.76-3.06
Pm 0.1547 0.0557 0.9443  4 Rh 3.10-3.15
Pm 0.6712 0.6253 0.6919  4 Rh 2.90-3.01
Pm 0.1712 0.6919 0.6253  4 Rh 2.90-3.01
Pm 0.3042 0.0521 0.4700  3 Rh 2.94-3.09

Calculated values
Its volume is 547.6 Å³/cell. The symmetry is Cmc2_1 (36). As for the total energy: -5.675 eV per atom.

=====

Record 3
# HoEr2Pd

A relaxed HoEr2Pd crystal (PBE, the Alexandria database).

Cell lengths 3.5470, 3.5470, 8.3203 Å; angles 90.00, 90.00, 90.00 degrees
Closest atoms and distances in Å follow each position.
Element x y z (fractional)
Ho 0.5000 0.5000 0.5000  8 Er 3.54, 4 Ho 3.55
Pd 0.5000 0.5000 0.0000  8 Er 3.01
Er 0.0000 0.0000 0.1995  4 Pd 3.01, 1 Er 3.32
Er 0.0000 0.0000 0.8005  4 Pd 3.01, 1 Er 3.32

Calculated values
As for the energy above the most stable polymorph in this dataset: 0.24 eV per formula unit. Its volume is 104.7 Å³/cell. The symmetry is P4/mmm (123). As for the total energy: -5.153 eV per atom.

=====

Record 4
# ZrBe2W2

A relaxed ZrBe2W2 crystal (PBE, the Alexandria database).

Cell lengths 6.4830, 6.4830, 3.2957 Å; angles 90.00, 90.00, 90.00 degrees
Closest atoms and distances in Å follow each position.
Element x y z (fractional)
W 0.3257 0.1743 0.5000  6 Be 2.52-2.56
Be 0.3876 0.8876 0.0000  1 Be 2.06
Be 0.6124 0.1124 0.0000  1 Be 2.06
Be 0.8876 0.6124 0.0000  1 Be 2.06
W 0.8257 0.3257 0.5000  6 Be 2.52-2.56
Zr 0.5000 0.5000 0.0000  4 Be 2.62, 8 W 2.91
W 0.6743 0.8257 0.5000  6 Be 2.52-2.56
Zr 0.0000 0.0000 0.0000  4 Be 2.62, 8 W 2.91
Be 0.1124 0.3876 0.0000  1 Be 2.06
W 0.1743 0.6743 0.5000  6 Be 2.52-2.56

Calculated values
Its volume is 138.5 Å³/cell. The symmetry is P4/mbm (127). As for the total energy: -8.415 eV per atom.